Entry 1:
# RbBeNb PBE-GGA optimized geometry
# magnetization = 0.00 μB per formula unit
# energy relative to the elements = 0.5707 eV per atom
# crystal system = triclinic
# energy relative to the lowest polymorph listed for this composition = 0.190 eV per atom
# electronic total energy = -4.351 eV/atom
data_RbBeNb
_cell_length_a 3.9205
_cell_length_b 3.9220
_cell_length_c 13.2282
_cell_angle_alpha 93.50
_cell_angle_beta 93.73
_cell_angle_gamma 119.96
_symmetry_space_group_name_H-M 'P 1'
_symmetry_Int_Tables_number 1
_symmetry_space_group_name_Hall 'P 1'
loop_
_atom_site_label
_atom_site_type_symbol
_atom_site_fract_x
_atom_site_fract_y
_atom_site_fract_z
_atom_site_occupancy
Rb1 Rb 0.0000 0.0000 0.0000 1
Rb2 Rb 0.2765 0.2715 0.6446 1
Be1 Be 0.5166 0.8489 0.4322 1
Be2 Be 0.8503 0.5159 0.4325 1
Nb1 Nb 0.1506 0.1502 0.3552 1
Nb2 Nb 0.7670 0.4345 0.2373 1

=====

Entry 2:
# RbBeNb PBE-GGA optimized geometry
# magnetization = 0.00 μB per formula unit
# energy relative to the elements = 0.6688 eV per atom
# crystal system = triclinic
# energy relative to the lowest polymorph listed for this composition = 0.288 eV per atom
# electronic total energy = -4.252 eV/atom
data_RbBeNb
_cell_length_a 3.8036
_cell_length_b 4.8965
_cell_length_c 11.7376
_cell_angle_alpha 95.83
_cell_angle_beta 90.16
_cell_angle_gamma 90.00
_symmetry_space_group_name_H-M 'P 1'
_symmetry_Int_Tables_number 1
_symmetry_space_group_name_Hall 'P 1'
loop_
_atom_site_label
_atom_site_type_symbol
_atom_site_fract_x
_atom_site_fract_y
_atom_site_fract_z
_atom_site_occupancy
Rb1 Rb 0.0000 0.0000 0.0000 1
Rb2 Rb 0.4952 0.5898 0.3995 1
Be1 Be 0.4983 0.4094 0.7756 1
Be2 Be 0.4979 0.9174 0.7660 1
Nb1 Nb 0.9971 0.1428 0.6712 1
Nb2 Nb 0.9972 0.6383 0.6802 1

=====

Entry 3:
# RbBeNb PBE-GGA optimized geometry
# magnetization = 0.00 μB per formula unit
# energy relative to the elements = 0.5507 eV per atom
# crystal system = triclinic
# energy relative to the lowest polymorph listed for this composition = 0.170 eV per atom
# electronic total energy = -4.371 eV/atom
data_RbBeNb
_cell_length_a 3.7167
_cell_length_b 4.4828
_cell_length_c 12.4748
_cell_angle_alpha 81.56
_cell_angle_beta 88.59
_cell_angle_gamma 65.54
_symmetry_space_group_name_H-M 'P 1'
_symmetry_Int_Tables_number 1
_symmetry_space_group_name_Hall 'P 1'
loop_
_atom_site_label
_atom_site_type_symbol
_atom_site_fract_x
_atom_site_fract_y
_atom_site_fract_z
_atom_site_occupancy
Rb1 Rb 0.0000 0.0000 0.0000 1
Rb2 Rb 0.4013 0.2997 0.3721 1
Be1 Be 0.0332 0.9845 0.6820 1
Be2 Be 0.6523 0.7298 0.7885 1
Nb1 Nb 0.3456 0.3511 0.7370 1
Nb2 Nb 0.7060 0.6515 0.6075 1